Entry 1:
This record from Alexandria describes a geometry-optimized PmNd2Sm2Tm structure. The functional is PBE.

- V: 401.8 Å³/cell
- Final energy: -4.642 eV/atom
- Fermi-level density of states: 9.15 states/eV/f.u.

a = 5.722 Å, b = 7.086 Å, c = 9.910 Å
α = 90.00°, β = 90.00°, γ = 90.00°
Fractional coordinates of all 12 atoms:
Pm 0.500 0.258 0.657
Pm 0.500 0.758 0.343
Nd 0.500 0.008 0.000
Nd 0.000 0.258 0.177
Nd 0.500 0.508 0.000
Nd 0.000 0.758 0.823
Sm 0.000 0.258 0.837
Sm 0.500 0.258 0.330
Sm 0.000 0.758 0.163
Sm 0.500 0.758 0.670
Tm 0.000 0.008 0.500
Tm 0.000 0.508 0.500

=====

Entry 2:
This record from Alexandria describes a geometry-optimized Pm6NdSm2Tm structure. The functional is PBE.

- V: 685.1 Å³/cell
- Final energy: -4.605 eV/atom
- Fermi-level density of states: 13.99 states/eV/f.u.

a = 9.749 Å, b = 8.956 Å, c = 8.956 Å
α = 117.89°, β = 93.91°, γ = 93.91°
Fractional coordinates of all 20 atoms:
Pm 0.055 0.122 0.753
Pm 0.445 0.247 0.878
Pm 0.945 0.878 0.247
Pm 0.555 0.753 0.122
Pm 0.312 0.987 0.432
Pm 0.188 0.568 0.013
Pm 0.688 0.013 0.568
Pm 0.812 0.432 0.987
Pm 0.119 0.708 0.493
Pm 0.381 0.507 0.292
Pm 0.881 0.292 0.507
Pm 0.619 0.493 0.708
Nd 0.250 0.978 0.022
Nd 0.750 0.022 0.978
Sm 0.455 0.800 0.698
Sm 0.045 0.302 0.200
Sm 0.545 0.200 0.302
Sm 0.955 0.698 0.800
Tm 0.250 0.410 0.590
Tm 0.750 0.590 0.410